1.
The following is a DFT calculation (PBE) of a geometry-optimized Sm2CoRu structure. Values from VASP.

Output
- Formation energy: -162 meV per atom
- Crystal system: monoclinic

Cell and atoms, written as Quantum ESPRESSO input:
```
&SYSTEM
  ibrav = 0, nat = 8, ntyp = 3
/
ATOMIC_SPECIES
Co 58.93 Co.upf
Sm 150.36 Sm.upf
Ru 101.07 Ru.upf
CELL_PARAMETERS angstrom
4.0745 0.0000 0.0000
0.0000 5.2261 -2.1261
0.0000 0.0334 8.4528
ATOMIC_POSITIONS angstrom
Co 3.0558 3.2501 5.2910
Co 1.0186 2.0093 1.0357
Sm 3.0558 1.1151 3.1858
Sm 3.0558 1.1135 7.3751
Sm 1.0186 4.1460 -1.0483
Sm 1.0186 4.1443 3.1410
Ru 3.0558 3.1925 1.0328
Ru 1.0186 2.0670 5.2940
```

***

2.
The following is a DFT calculation (PBE) of a geometry-optimized PrTi2O4 structure. Values from VASP.

Output
- Uncorrected formation energy: -2.589 eV/atom
- Crystal system: triclinic

Cell and atoms, written as Quantum ESPRESSO input:
```
&SYSTEM
  ibrav = 0, nat = 7, ntyp = 3
/
ATOMIC_SPECIES
O 16.00 O.upf
Pr 140.91 Pr.upf
Ti 47.87 Ti.upf
CELL_PARAMETERS angstrom
-4.2521 0.3683 3.6089
-5.1656 -2.4073 -1.5255
-0.6615 -4.3129 3.9675
ATOMIC_POSITIONS angstrom
O -4.2281 -3.5245 4.0234
O -7.4493 -4.2756 4.6120
O -5.8512 -2.8274 2.0275
O -2.6300 -2.0763 1.4388
Pr -2.1260 0.1842 1.8044
Ti -3.9764 -3.2768 2.1244
Ti -6.1029 -3.0751 3.9265
```

***

3.
The following is a DFT calculation (PBE) of a geometry-optimized NdThSe2 structure. Values from VASP.

Output
- Relative energy among the computed polymorphs: 0.02 eV/f.u.
- Uncorrected formation energy: -1.676 eV/atom
- Crystal system: tetragonal

Cell and atoms, written as Quantum ESPRESSO input:
```
&SYSTEM
  ibrav = 0, nat = 8, ntyp = 3
/
ATOMIC_SPECIES
Th 232.04 Th.upf
Se 78.96 Se.upf
Nd 144.24 Nd.upf
CELL_PARAMETERS angstrom
-4.4199 1.9363 3.5112
-3.4930 -4.4254 -1.9565
5.9196 -2.2492 3.6205
ATOMIC_POSITIONS angstrom
Th 0.0000 0.0000 0.0000
Th -1.2284 -0.7788 3.9545
Se -2.9751 -2.9910 2.9757
Se 0.2164 -5.7061 3.4191
Se -1.7462 -2.2132 -0.9777
Se 0.9818 -1.7474 2.1995
Nd -0.7649 -3.9596 1.2207
Nd -3.9564 -1.2446 0.7774
```

***

Per-record volume, Å³/cell: 180.28; 151.16; 211.90